Entry 1:
First-principles (PBE) data for a relaxed structure of GdScAs, as listed in Alexandria via LeMat-Bulk. Values from VASP.

Calculated values
Formation energy   -0.668 eV per atom
Space group   P3m1 (156)

```
&SYSTEM
  ibrav = 0, nat = 3, ntyp = 3
/
ATOMIC_SPECIES
Sc 44.96 Sc.upf
As 74.92 As.upf
Gd 157.25 Gd.upf
CELL_PARAMETERS angstrom
4.067 0.000 0.000
0.000 4.554 0.000
0.000 -2.277 3.944
ATOMIC_POSITIONS crystal
Sc 0.134 0.000 0.000
As 0.231 0.333 0.667
Gd 0.635 0.667 0.333
```

Entry 2:
First-principles (PBE) data for a relaxed structure of EuGdIrPd, as listed in Alexandria via LeMat-Bulk. Values from VASP.

Calculated values
Formation energy   -0.643 eV per atom
Space group   F-43m (216)

```
&SYSTEM
  ibrav = 0, nat = 4, ntyp = 4
/
ATOMIC_SPECIES
Eu 151.96 Eu.upf
Gd 157.25 Gd.upf
Pd 106.42 Pd.upf
Ir 192.22 Ir.upf
CELL_PARAMETERS angstrom
-4.373 -1.359 1.983
-0.132 -3.373 3.675
-1.182 1.409 4.639
ATOMIC_POSITIONS crystal
Eu 0.750 0.750 0.750
Gd 0.250 0.250 0.250
Pd 0.500 0.500 0.500
Ir 0.000 0.000 0.000
```

Entry 3:
First-principles (PBE) data for a relaxed structure of ReGePt2F, as listed in Alexandria via LeMat-Bulk. Values from VASP.

Calculated values
Space group   P4/mmm (123)
Uncorrected formation energy   909.9 meV/atom

```
&SYSTEM
  ibrav = 0, nat = 5, ntyp = 4
/
ATOMIC_SPECIES
Re 186.21 Re.upf
Ge 72.64 Ge.upf
Pt 195.08 Pt.upf
F 19.00 F.upf
CELL_PARAMETERS angstrom
-1.663 2.703 2.967
-3.911 -1.135 -1.159
0.056 -3.195 2.942
ATOMIC_POSITIONS crystal
Re 0.500 0.500 0.500
Ge 0.000 0.500 0.000
Pt 0.000 0.000 0.500
Pt 0.500 0.000 0.000
F 0.000 0.000 0.000
```

Entry 4:
First-principles (PBE) data for a relaxed structure of LaLuAlTl, as listed in Alexandria via LeMat-Bulk. Values from VASP.

Calculated values
Formation energy   -0.321 eV per atom
Space group   F-43m (216)

```
&SYSTEM
  ibrav = 0, nat = 4, ntyp = 4
/
ATOMIC_SPECIES
Tl 204.38 Tl.upf
Lu 174.97 Lu.upf
Al 26.98 Al.upf
La 138.91 La.upf
CELL_PARAMETERS angstrom
5.339 0.000 0.000
2.669 4.623 0.000
2.669 1.541 4.359
ATOMIC_POSITIONS crystal
Tl 0.000 0.000 0.000
Lu 0.250 0.250 0.250
Al 0.500 0.500 0.500
La 0.750 0.750 0.750
```

Entry 5:
First-principles (PBE) data for a relaxed structure of TaV7Sn2, as listed in Alexandria via LeMat-Bulk. Values from VASP.

Calculated values
Formation energy   0.986 eV per atom
Space group   Fm-3m (225)

```
&SYSTEM
  ibrav = 0, nat = 10, ntyp = 3
/
ATOMIC_SPECIES
Ta 180.95 Ta.upf
V 50.94 V.upf
Sn 118.71 Sn.upf
CELL_PARAMETERS angstrom
6.392 0.000 0.000
3.196 5.536 0.000
3.196 1.845 5.219
ATOMIC_POSITIONS crystal
Ta 0.000 0.000 0.000
V 0.500 0.500 0.500
V 0.260 0.740 0.740
V 0.260 0.740 0.260
V 0.740 0.260 0.740
V 0.740 0.740 0.260
V 0.260 0.260 0.740
V 0.740 0.260 0.260
Sn 0.250 0.250 0.250
Sn 0.750 0.750 0.750
```

Entry 6:
First-principles (PBE) data for a relaxed structure of Nb4O, as listed in Alexandria via LeMat-Bulk. Values from VASP.

Calculated values
Space group   Pm-3m (221)
Uncorrected formation energy   -586.6 meV/atom

```
&SYSTEM
  ibrav = 0, nat = 5, ntyp = 2
/
ATOMIC_SPECIES
Nb 92.91 Nb.upf
O 16.00 O.upf
CELL_PARAMETERS angstrom
-3.917 -1.126 -1.417
1.644 -3.628 -1.659
-0.759 -2.046 3.723
ATOMIC_POSITIONS crystal
Nb 0.000 0.000 0.000
Nb 0.500 0.000 0.500
Nb 0.000 0.500 0.500
Nb 0.500 0.500 0.000
O 0.500 0.500 0.500
```